Entry from Alexandria: Cd3TcPd12 after structural relaxation (PBE).

abc: 3.9832 3.9832 16.1821
angles: 90.00 90.00 90.00
Last column: nearest neighbours and their distance in Å.
Fractional coordinates of all 16 atoms:
Pd 0.5000 0.5000 0.5000  4 Cd 2.82, 8 Pd 2.86
Cd 0.0000 0.0000 0.7528  12 Pd 2.82-2.91
Pd 0.5000 0.0000 0.3730  8 Pd 2.82-2.88, 4 Cd 2.85-2.86
Pd 0.5000 0.5000 0.0000  8 Pd 2.74, 4 Tc 2.82
Cd 0.0000 0.0000 0.5000  12 Pd 2.82-2.86
Pd 0.0000 0.5000 0.6270  8 Pd 2.82-2.88, 4 Cd 2.85-2.86
Pd 0.5000 0.5000 0.2443  4 Cd 2.82, 8 Pd 2.87-2.88
Pd 0.5000 0.0000 0.8838  8 Pd 2.74-2.87, 2 Tc 2.74, 2 Cd 2.91
Pd 0.5000 0.0000 0.6270  8 Pd 2.82-2.88, 4 Cd 2.85-2.86
Pd 0.0000 0.5000 0.1162  2 Tc 2.74, 8 Pd 2.74-2.87, 2 Cd 2.91
Pd 0.5000 0.0000 0.1162  2 Tc 2.74, 8 Pd 2.74-2.87, 2 Cd 2.91
Pd 0.5000 0.5000 0.7557  4 Cd 2.82, 8 Pd 2.87-2.88
Tc 0.0000 0.0000 0.0000  12 Pd 2.74-2.82
Pd 0.0000 0.5000 0.3730  8 Pd 2.82-2.88, 4 Cd 2.85-2.86
Pd 0.0000 0.5000 0.8838  8 Pd 2.74-2.87, 2 Tc 2.74, 2 Cd 2.91
Cd 0.0000 0.0000 0.2472  12 Pd 2.82-2.91

Output
Space group = P4/mmm
D(E_F) = 1.1732 states/eV/atom

***

Entry from Alexandria: CdTc2Pd after structural relaxation (PBE).

abc: 7.4566 7.4566 5.8624
angles: 50.51 50.51 90.00
Last column: nearest neighbours and their distance in Å.
Fractional coordinates of all 8 atoms:
Tc 0.1485 0.6250 0.2500  2 Tc 2.59, 2 Pd 2.60, 2 Cd 2.84
Cd 0.7500 0.2500 0.5000  2 Pd 2.56, 4 Tc 2.84
Pd 0.2500 0.7500 0.5000  2 Cd 2.56, 4 Tc 2.60
Tc 0.6015 0.1250 0.2500  2 Tc 2.59, 2 Pd 2.60, 2 Cd 2.84
Tc 0.8750 0.8515 0.7500  2 Tc 2.59, 2 Pd 2.60, 2 Cd 2.84
Cd 0.0000 0.0000 0.0000  2 Pd 2.56, 4 Tc 2.84
Tc 0.3750 0.3985 0.7500  2 Tc 2.59, 2 Pd 2.60, 2 Cd 2.84
Pd 0.5000 0.5000 0.0000  2 Cd 2.56, 4 Tc 2.60

Output
Space group = I-42d
D(E_F) = 1.3176 states/eV/atom

***

Entry from Alexandria: Cd3TcPd after structural relaxation (PBE).

abc: 5.0658 5.0658 5.0658
angles: 90.00 90.00 90.00
Last column: nearest neighbours and their distance in Å.
Fractional coordinates of all 5 atoms:
Tc 0.5000 0.5000 0.5000  12 Cd 3.58
Pd 0.0000 0.0000 0.0000  6 Cd 2.53
Cd 0.0000 0.0000 0.5000  2 Pd 2.53
Cd 0.5000 0.0000 0.0000  2 Pd 2.53
Cd 0.0000 0.5000 0.0000  2 Pd 2.53

Output
Energy above the lowest structure with this stoichiometry = 0.000 eV/f.u.
Space group = Pm-3m
D(E_F) = 0.9618 states/eV/atom

***

Entry from Alexandria: Cd4TcPd2 after structural relaxation (PBE).

abc: 5.1746 5.1746 7.6417
angles: 70.21 70.21 90.00
Last column: nearest neighbours and their distance in Å.
Fractional coordinates of all 7 atoms:
Pd 0.4006 0.4006 0.1988  5 Cd 2.65-2.91, 1 Pd 2.67
Cd 0.5000 0.0000 0.0000  2 Tc 2.59
Cd 0.0000 0.5000 0.0000  2 Tc 2.59
Cd 0.2029 0.2029 0.5942  1 Pd 2.65, 1 Tc 2.72
Pd 0.5994 0.5994 0.8012  5 Cd 2.65-2.91, 1 Pd 2.67
Tc 0.0000 0.0000 0.0000  6 Cd 2.59-2.72
Cd 0.7971 0.7971 0.4058  1 Pd 2.65, 1 Tc 2.72

Output
Space group = I4/mmm
D(E_F) = 0.6878 states/eV/atom

***

Number 1: formation energy from the elements -0.16 eV per atom, E -4.875 eV per atom. Number 2: formation energy from the elements 0.89 eV per atom, E -5.818 eV per atom. Number 3: formation energy from the elements 0.89 eV per atom, E -2.766 eV per atom. Number 4: formation energy from the elements 0.61 eV per atom, E -2.874 eV per atom.